Record 1
Here is a geometry-optimized Tc3H12Rh5 structure from Alexandria via LeMat-Bulk. Energies are from PBE.

Its theoretical density is 8709 kg/m³. For the density of states at the Fermi level, the calculation gives 17.613 states/eV/f.u. The value obtained for the total DFT energy (no corrections) is -5.19 eV/atom. The value obtained for the volume is 156.5 Å³/f.u.

The structure belongs to space group Ia-3d (No. 230); the cell edges are 10.7772, 10.7772 and 10.7772 Å and the angles 90.00°, 90.00° and 90.00°. Symmetry generates all atoms from Tc at (0.0000, 0.2500, 0.1250), H at (0.0135, 0.0708, 0.6540), Rh at (0.0000, 0.0000, 0.0000) and Rh at (0.0000, 0.2500, 0.3750).

Record 2
Here is a geometry-optimized K4DyPa3O12 structure from Alexandria via LeMat-Bulk. Energies are from PBE.

Its theoretical density is 5924 kg/m³. For the density of states at the Fermi level, the calculation gives 19.951 states/eV/f.u. The value obtained for the raw formation energy is -57.1 eV per formula unit. The value obtained for the total DFT energy (no corrections) is -7.71 eV/atom. The value obtained for the volume is 337.5 Å³/f.u.

The structure belongs to space group Im-3m (No. 229); the cell edges are 8.7718, 8.7718 and 8.7718 Å and the angles 90.00°, 90.00° and 90.00°. Symmetry generates all atoms from K at (0.2500, 0.2500, 0.2500), Dy at (0.0000, 0.0000, 0.0000), Pa at (0.0000, 0.0000, 0.5000), O at (0.0000, 0.0000, 0.2604) and O at (0.0000, 0.2500, 0.5000).

Record 3
Here is a geometry-optimized In2FeSb structure from Alexandria via LeMat-Bulk. Energies are from PBE.

Its theoretical density is 7686 kg/m³. For the density of states at the Fermi level, the calculation gives 4.127 states/eV/f.u. The value obtained for the raw formation energy is 1.2 eV per formula unit. The value obtained for the total DFT energy (no corrections) is -4.22 eV/atom. The value obtained for the volume is 88.0 Å³/f.u.

The structure belongs to space group P4/mmm (No. 123); the cell edges are 3.1334, 3.1334 and 8.9611 Å and the angles 90.00°, 90.00° and 90.00°. Symmetry generates all atoms from In at (0.0000, 0.0000, 0.1947), Fe at (0.5000, 0.5000, 0.0000) and Sb at (0.5000, 0.5000, 0.5000).

Record 4
Here is a geometry-optimized PuTlTe2Au structure from Alexandria via LeMat-Bulk. Energies are from PBE.

Its theoretical density is 8553 kg/m³. For the density of states at the Fermi level, the calculation gives 14.915 states/eV/f.u. The value obtained for the raw formation energy is -2.3 eV per formula unit. The value obtained for the total DFT energy (no corrections) is -5.71 eV/atom. The value obtained for the volume is 174.8 Å³/f.u.

The structure belongs to space group P2/c (No. 13); the cell edges are 8.5478, 5.0845 and 8.1982 Å and the angles 90.00°, 101.06° and 90.00°. Symmetry generates all atoms from Pu at (0.0000, 0.0028, 0.2500), Tl at (0.5000, 0.3155, 0.7500), Te at (0.2613, 0.2017, 0.0509) and Au at (0.0000, 0.5000, 0.0000).

Record 5
Here is a geometry-optimized SrTaTe structure from Alexandria via LeMat-Bulk. Energies are from PBE.

Its theoretical density is 7505 kg/m³. For the density of states at the Fermi level, the calculation gives 3.083 states/eV/f.u. The value obtained for the raw formation energy is 0.8 eV per formula unit. The value obtained for the total DFT energy (no corrections) is -5.30 eV/atom. The value obtained for the volume is 87.7 Å³/f.u.

The structure belongs to space group P-6m2 (No. 187); the cell edges are 4.7996, 4.7996 and 4.3935 Å and the angles 90.00°, 90.00° and 120.00°. Symmetry generates all atoms from Sr at (0.0000, 0.0000, 0.0000), Ta at (0.6667, 0.3333, 0.5000) and Te at (0.3333, 0.6667, 0.5000).

Record 6
Here is a geometry-optimized LaDy2HoHg4 structure from Alexandria via LeMat-Bulk. Energies are from PBE.

Its theoretical density is 11091 kg/m³. For the density of states at the Fermi level, the calculation gives 8.525 states/eV/f.u. As for the calculated formation energy: -470.7 meV per atom. The value obtained for the total DFT energy (no corrections) is -2.96 eV/atom. The value obtained for the volume is 214.3 Å³/f.u.

The structure belongs to space group R-3m (No. 166, hexagonal axes); the cell edges are 5.3046, 5.3046 and 26.3799 Å and the angles 90.00°, 90.00° and 120.00°. Symmetry generates all atoms from La at (0.0000, 0.0000, 0.0000), Dy at (0.0000, 0.0000, 0.2486), Ho at (0.0000, 0.0000, 0.5000), Hg at (0.0000, 0.0000, 0.1277) and Hg at (0.0000, 0.0000, 0.3799).

Record 7
Here is a geometry-optimized BaAcAgSn structure from Alexandria via LeMat-Bulk. Energies are from PBE.

Its theoretical density is 7072 kg/m³. For the density of states at the Fermi level, the calculation gives 1.177 states/eV/f.u. As for the calculated formation energy: -471.2 meV per atom. The value obtained for the total DFT energy (no corrections) is -3.69 eV/atom. The value obtained for the volume is 138.7 Å³/f.u.

The structure belongs to space group F-43m (No. 216); the cell edges are 8.2178, 8.2178 and 8.2178 Å and the angles 90.00°, 90.00° and 90.00°. Symmetry generates all atoms from Ba at (0.0000, 0.0000, 0.0000), Ac at (0.0000, 0.0000, 0.5000), Ag at (0.2500, 0.2500, 0.7500) and Sn at (0.2500, 0.2500, 0.2500).

Record 8
Here is a geometry-optimized Mg3Tc structure from Alexandria via LeMat-Bulk. Energies are from PBE.

Its theoretical density is 3965 kg/m³. For the density of states at the Fermi level, the calculation gives 2.412 states/eV/f.u. As for the calculated formation energy: 195.7 meV per atom. The value obtained for the total DFT energy (no corrections) is -3.59 eV/atom. The value obtained for the volume is 71.6 Å³/f.u.

The structure belongs to space group R-3m (No. 166, hexagonal axes); the cell edges are 9.3670, 9.3670 and 2.8260 Å and the angles 90.00°, 90.00° and 120.00°. Symmetry generates all atoms from Mg at (0.0000, 0.5000, 0.0000) and Tc at (0.0000, 0.0000, 0.0000).